[1]
# Y2HgF PBE optimized geometry
# **Offset from the most stable computed form**: 152 meV/atom
# **E_form (uncorrected)**: -1.181 eV per atom
data_Y2HgF
_space_group_name_H-M_alt 'I -4 2 d'
_space_group_IT_number 122
_space_group_name_Hall 'I -4 2bw'
_cell_length_a 5.9065
_cell_length_b 5.9065
_cell_length_c 12.3301
_cell_angle_alpha 90.00
_cell_angle_beta 90.00
_cell_angle_gamma 90.00
loop_
_atom_site_label
_atom_site_type_symbol
_atom_site_fract_x
_atom_site_fract_y
_atom_site_fract_z
_atom_site_occupancy
Y1 Y 0.1646 0.2500 0.1250 1
Hg1 Hg 0.0000 0.0000 0.5000 1
F1 F 0.0000 0.0000 0.0000 1


[2]
# Nd12Os3C5 PBE optimized geometry
# **DFT formation energy**: 0.1000 eV/atom
data_Nd12Os3C5
_space_group_name_H-M_alt 'I a -3 d'
_space_group_IT_number 230
_space_group_name_Hall '-I 4bd 2c 3'
_cell_length_a 15.9300
_cell_length_b 15.9300
_cell_length_c 15.9300
_cell_angle_alpha 90.00
_cell_angle_beta 90.00
_cell_angle_gamma 90.00
loop_
_atom_site_label
_atom_site_type_symbol
_atom_site_fract_x
_atom_site_fract_y
_atom_site_fract_z
_atom_site_occupancy
Nd1 Nd 0.0248 0.0562 0.6535 1
Os1 Os 0.0000 0.2500 0.1250 1
C1 C 0.0000 0.0000 0.0000 1
C2 C 0.0000 0.2500 0.3750 1


[3]
# Li3BF PBE optimized geometry
# **Offset from the most stable computed form**: 0 meV/atom
# **E_form (uncorrected)**: -0.669 eV per atom
data_Li3BF
_space_group_name_H-M_alt 'P m -3 m'
_space_group_IT_number 221
_space_group_name_Hall '-P 4 2 3'
_cell_length_a 3.7841
_cell_length_b 3.7841
_cell_length_c 3.7841
_cell_angle_alpha 90.00
_cell_angle_beta 90.00
_cell_angle_gamma 90.00
loop_
_atom_site_label
_atom_site_type_symbol
_atom_site_fract_x
_atom_site_fract_y
_atom_site_fract_z
_atom_site_occupancy
Li1 Li 0.0000 0.0000 0.5000 1
B1 B 0.5000 0.5000 0.5000 1
F1 F 0.0000 0.0000 0.0000 1


[4]
# Mg2TaP PBE optimized geometry
# **DFT formation energy**: 0.1198 eV/atom
data_Mg2TaP
_space_group_name_H-M_alt 'P 1 2/m 1'
_space_group_IT_number 10
_cell_length_a 2.8727
_cell_length_b 4.8981
_cell_length_c 5.1833
_cell_angle_alpha 90.00
_cell_angle_beta 103.58
_cell_angle_gamma 90.00
loop_
_space_group_symop_operation_xyz
'x,y,z'
'-x,-y,-z'
'-x,y,-z'
'x,-y,z'
loop_
_atom_site_label
_atom_site_type_symbol
_atom_site_fract_x
_atom_site_fract_y
_atom_site_fract_z
_atom_site_occupancy
Mg1 Mg 0.1514 0.0000 0.2549 1
Ta1 Ta 0.5000 0.5000 0.0000 1
P1 P 0.5000 0.5000 0.5000 1


[5]
# Ac2Th3Si4 PBE optimized geometry
# **E_form (uncorrected)**: -0.610 eV per atom
data_Ac2Th3Si4
_space_group_name_H-M_alt 'P 1 21/c 1'
_space_group_IT_number 14
_cell_length_a 8.0113
_cell_length_b 8.0826
_cell_length_c 7.9793
_cell_angle_alpha 90.00
_cell_angle_beta 106.27
_cell_angle_gamma 90.00
loop_
_space_group_symop_operation_xyz
'x,y,z'
'-x,-y,-z'
'-x,y+1/2,-z+1/2'
'x,-y+1/2,z+1/2'
loop_
_atom_site_label
_atom_site_type_symbol
_atom_site_fract_x
_atom_site_fract_y
_atom_site_fract_z
_atom_site_occupancy
Ac1 Ac 0.1996 0.1762 0.0879 1
Th1 Th 0.2452 0.6784 0.2564 1
Th2 Th 0.5000 0.0000 0.5000 1
Si1 Si 0.0875 0.5264 0.8928 1
Si2 Si 0.4958 0.1205 0.8757 1


[6]
# Mg2PtCl PBE optimized geometry
# **Offset from the most stable computed form**: 215 meV/atom
# **E_form (uncorrected)**: -0.779 eV per atom
data_Mg2PtCl
_space_group_name_H-M_alt 'P 4 m m'
_space_group_IT_number 99
_cell_length_a 4.8723
_cell_length_b 4.8723
_cell_length_c 3.0291
_cell_angle_alpha 90.00
_cell_angle_beta 90.00
_cell_angle_gamma 90.00
loop_
_space_group_symop_operation_xyz
'x,y,z'
'-y,x,z'
'-x,-y,z'
'y,-x,z'
'-x,y,z'
'y,x,z'
'x,-y,z'
'-y,-x,z'
loop_
_atom_site_label
_atom_site_type_symbol
_atom_site_fract_x
_atom_site_fract_y
_atom_site_fract_z
_atom_site_occupancy
Mg1 Mg 0.0000 0.5000 0.0000 1
Pt1 Pt 0.0000 0.0000 0.5059 1
Cl1 Cl 0.5000 0.5000 0.3814 1


[7]
# SrLi4Au2 PBE optimized geometry
# **DFT formation energy**: -0.4819 eV/atom
data_SrLi4Au2
_space_group_name_H-M_alt 'P 42/m n m'
_space_group_IT_number 136
_space_group_name_Hall '-P 4n 2n'
_cell_length_a 8.1404
_cell_length_b 8.1404
_cell_length_c 4.3897
_cell_angle_alpha 90.00
_cell_angle_beta 90.00
_cell_angle_gamma 90.00
loop_
_atom_site_label
_atom_site_type_symbol
_atom_site_fract_x
_atom_site_fract_y
_atom_site_fract_z
_atom_site_occupancy
Sr1 Sr 0.0000 0.0000 0.0000 1
Li1 Li 0.0926 0.3446 0.5000 1
Au1 Au 0.2184 0.7816 0.5000 1


[8]
# Ta2FeReB PBE optimized geometry
# **DFT formation energy**: 0.8211 eV/atom
data_Ta2FeReB
_space_group_name_H-M_alt 'P 4/m m m'
_space_group_IT_number 123
_space_group_name_Hall '-P 4 2'
_cell_length_a 4.6168
_cell_length_b 4.6168
_cell_length_c 3.6095
_cell_angle_alpha 90.00
_cell_angle_beta 90.00
_cell_angle_gamma 90.00
loop_
_atom_site_label
_atom_site_type_symbol
_atom_site_fract_x
_atom_site_fract_y
_atom_site_fract_z
_atom_site_occupancy
Ta1 Ta 0.0000 0.5000 0.0000 1
Fe1 Fe 0.0000 0.0000 0.0000 1
Re1 Re 0.5000 0.5000 0.5000 1
B1 B 0.0000 0.0000 0.5000 1


[9]
# MgBrCl2 PBE optimized geometry
# **Offset from the most stable computed form**: 203 meV/atom
# **E_form (uncorrected)**: -0.981 eV per atom
data_MgBrCl2
_space_group_name_H-M_alt 'C m m m'
_space_group_IT_number 65
_space_group_name_Hall '-C 2 2'
_cell_length_a 3.7756
_cell_length_b 5.3947
_cell_length_c 11.3456
_cell_angle_alpha 90.00
_cell_angle_beta 90.00
_cell_angle_gamma 90.00
loop_
_atom_site_label
_atom_site_type_symbol
_atom_site_fract_x
_atom_site_fract_y
_atom_site_fract_z
_atom_site_occupancy
Mg1 Mg 0.0000 0.0000 0.0000 1
Br1 Br 0.0000 0.0000 0.5000 1
Cl1 Cl 0.0000 0.5000 0.1381 1


[10]
# La2ErTm8 PBE optimized geometry
# **Offset from the most stable computed form**: 146 meV/atom
# **DFT formation energy**: 0.1838 eV/atom
data_La2ErTm8
_space_group_name_H-M_alt 'C 1 2/m 1'
_space_group_IT_number 12
_cell_length_a 16.4506
_cell_length_b 6.5527
_cell_length_c 6.6535
_cell_angle_alpha 90.00
_cell_angle_beta 100.68
_cell_angle_gamma 90.00
loop_
_space_group_symop_operation_xyz
'x,y,z'
'-x,-y,-z'
'-x,y,-z'
'x,-y,z'
'x+1/2,y+1/2,z'
'-x+1/2,-y+1/2,-z'
'-x+1/2,y+1/2,-z'
'x+1/2,-y+1/2,z'
loop_
_atom_site_label
_atom_site_type_symbol
_atom_site_fract_x
_atom_site_fract_y
_atom_site_fract_z
_atom_site_occupancy
La1 La 0.2486 0.0000 0.3200 1
Er1 Er 0.0000 0.0000 0.0000 1
Tm1 Tm 0.0837 0.2587 0.3966 1
Tm2 Tm 0.0891 0.5000 0.9123 1
Tm3 Tm 0.1963 0.0000 0.8100 1


[11]
# CaTaTc2 PBE optimized geometry
# **Offset from the most stable computed form**: 0 meV/atom
# **DFT formation energy**: 0.1811 eV/atom
data_CaTaTc2
_space_group_name_H-M_alt 'P 4/m m m'
_space_group_IT_number 123
_space_group_name_Hall '-P 4 2'
_cell_length_a 3.2400
_cell_length_b 3.2400
_cell_length_c 7.1433
_cell_angle_alpha 90.00
_cell_angle_beta 90.00
_cell_angle_gamma 90.00
loop_
_atom_site_label
_atom_site_type_symbol
_atom_site_fract_x
_atom_site_fract_y
_atom_site_fract_z
_atom_site_occupancy
Ca1 Ca 0.0000 0.0000 0.0000 1
Ta1 Ta 0.0000 0.0000 0.5000 1
Tc1 Tc 0.5000 0.5000 0.2987 1


[12]
# Sm2TmZn PBE optimized geometry
# **Offset from the most stable computed form**: 132 meV/atom
# **DFT formation energy**: -0.0253 eV/atom
data_Sm2TmZn
_space_group_name_H-M_alt 'R -3 m'
_space_group_IT_number 166
_space_group_name_Hall '-R 3 2"'
_cell_length_a 3.5898
_cell_length_b 3.5898
_cell_length_c 31.3806
_cell_angle_alpha 90.00
_cell_angle_beta 90.00
_cell_angle_gamma 120.00
loop_
_atom_site_label
_atom_site_type_symbol
_atom_site_fract_x
_atom_site_fract_y
_atom_site_fract_z
_atom_site_occupancy
Sm1 Sm 0.0000 0.0000 0.2407 1
Tm1 Tm 0.0000 0.0000 0.0000 1
Zn1 Zn 0.0000 0.0000 0.5000 1


[13]
# TbTm5Hg4 PBE optimized geometry
# **DFT formation energy**: -0.3713 eV/atom
data_TbTm5Hg4
_space_group_name_H-M_alt 'P 4/m m m'
_space_group_IT_number 123
_space_group_name_Hall '-P 4 2'
_cell_length_a 3.6285
_cell_length_b 3.6285
_cell_length_c 19.9515
_cell_angle_alpha 90.00
_cell_angle_beta 90.00
_cell_angle_gamma 90.00
loop_
_atom_site_label
_atom_site_type_symbol
_atom_site_fract_x
_atom_site_fract_y
_atom_site_fract_z
_atom_site_occupancy
Tb1 Tb 0.0000 0.0000 0.0000 1
Tm1 Tm 0.5000 0.5000 0.1232 1
Tm2 Tm 0.5000 0.5000 0.3129 1
Tm3 Tm 0.5000 0.5000 0.5000 1
Hg1 Hg 0.0000 0.0000 0.2167 1
Hg2 Hg 0.0000 0.0000 0.4054 1


[14]
# ErCdAs PBE optimized geometry
# **DFT formation energy**: -0.8810 eV/atom
data_ErCdAs
_space_group_name_H-M_alt 'P 4/n m m'
_space_group_IT_number 129
_cell_length_a 4.0561
_cell_length_b 4.0561
_cell_length_c 8.9666
_cell_angle_alpha 90.00
_cell_angle_beta 90.00
_cell_angle_gamma 90.00
loop_
_space_group_symop_operation_xyz
'x,y,z'
'-x,-y,-z'
'-y+1/2,x,z'
'y+1/2,-x,-z'
'-x+1/2,-y+1/2,z'
'x+1/2,y+1/2,-z'
'y,-x+1/2,z'
'-y,x+1/2,-z'
'x+1/2,-y,-z'
'-x+1/2,y,z'
'-y,-x,-z'
'y,x,z'
'-x,y+1/2,-z'
'x,-y+1/2,z'
'y+1/2,x+1/2,-z'
'-y+1/2,-x+1/2,z'
loop_
_atom_site_label
_atom_site_type_symbol
_atom_site_fract_x
_atom_site_fract_y
_atom_site_fract_z
_atom_site_occupancy
Er1 Er 0.2500 0.2500 0.1632 1
Cd1 Cd 0.2500 0.2500 0.5422 1
As1 As 0.2500 0.2500 0.8451 1


[15]
# Dy16Ho6Er7 PBE optimized geometry
# **DFT formation energy**: 0.2394 eV/atom
data_Dy16Ho6Er7
_space_group_name_H-M_alt 'F m -3 m'
_space_group_IT_number 225
_space_group_name_Hall '-F 4 2 3'
_cell_length_a 15.5773
_cell_length_b 15.5773
_cell_length_c 15.5773
_cell_angle_alpha 90.00
_cell_angle_beta 90.00
_cell_angle_gamma 90.00
loop_
_atom_site_label
_atom_site_type_symbol
_atom_site_fract_x
_atom_site_fract_y
_atom_site_fract_z
_atom_site_occupancy
Dy1 Dy 0.1225 0.1225 0.1225 1
Dy2 Dy 0.1517 0.1517 0.3483 1
Ho1 Ho 0.0000 0.0000 0.2778 1
Er1 Er 0.0000 0.0000 0.0000 1
Er2 Er 0.0000 0.2500 0.2500 1


[16]
# RbSc2Te2 PBE optimized geometry
# **Offset from the most stable computed form**: 303 meV/atom
# **E_form (uncorrected)**: -0.595 eV per atom
data_RbSc2Te2
_space_group_name_H-M_alt 'P 4/m b m'
_space_group_IT_number 127
_space_group_name_Hall '-P 4 2ab'
_cell_length_a 8.7501
_cell_length_b 8.7501
_cell_length_c 3.7604
_cell_angle_alpha 90.00
_cell_angle_beta 90.00
_cell_angle_gamma 90.00
loop_
_atom_site_label
_atom_site_type_symbol
_atom_site_fract_x
_atom_site_fract_y
_atom_site_fract_z
_atom_site_occupancy
Rb1 Rb 0.0000 0.0000 0.0000 1
Sc1 Sc 0.1314 0.3686 0.5000 1
Te1 Te 0.1451 0.6451 0.0000 1


[17]
# Tb3Zn2Cd2Au4 PBE optimized geometry
# **DFT formation energy**: -0.5742 eV/atom
data_Tb3Zn2Cd2Au4
_space_group_name_H-M_alt 'P -3 m 1'
_space_group_IT_number 164
_space_group_name_Hall '-P 3 2"'
_cell_length_a 4.6083
_cell_length_b 4.6083
_cell_length_c 13.5232
_cell_angle_alpha 90.00
_cell_angle_beta 90.00
_cell_angle_gamma 120.00
loop_
_atom_site_label
_atom_site_type_symbol
_atom_site_fract_x
_atom_site_fract_y
_atom_site_fract_z
_atom_site_occupancy
Tb1 Tb 0.0000 0.0000 0.0000 1
Tb2 Tb 0.0000 0.0000 0.2575 1
Zn1 Zn 0.3333 0.6667 0.1345 1
Cd1 Cd 0.3333 0.6667 0.5665 1
Au1 Au 0.3333 0.6667 0.3531 1
Au2 Au 0.3333 0.6667 0.8767 1


[18]
# RbTl2Ni2 PBE optimized geometry
# **Offset from the most stable computed form**: 169 meV/atom
# **DFT formation energy**: 0.3293 eV/atom
data_RbTl2Ni2
_space_group_name_H-M_alt 'I 4/m m m'
_space_group_IT_number 139
_space_group_name_Hall '-I 4 2'
_cell_length_a 4.8321
_cell_length_b 4.8321
_cell_length_c 10.4391
_cell_angle_alpha 90.00
_cell_angle_beta 90.00
_cell_angle_gamma 90.00
loop_
_atom_site_label
_atom_site_type_symbol
_atom_site_fract_x
_atom_site_fract_y
_atom_site_fract_z
_atom_site_occupancy
Rb1 Rb 0.0000 0.0000 0.0000 1
Tl1 Tl 0.0000 0.5000 0.2500 1
Ni1 Ni 0.0000 0.0000 0.3861 1


[19]
# Ca2TbY PBE optimized geometry
# **Offset from the most stable computed form**: 0 meV/atom
# **DFT formation energy**: 0.1250 eV/atom
data_Ca2TbY
_space_group_name_H-M_alt 'P 1 m 1'
_space_group_IT_number 6
_cell_length_a 3.6645
_cell_length_b 6.1410
_cell_length_c 6.3538
_cell_angle_alpha 90.00
_cell_angle_beta 90.08
_cell_angle_gamma 90.00
loop_
_space_group_symop_operation_xyz
'x,y,z'
'x,-y,z'
loop_
_atom_site_label
_atom_site_type_symbol
_atom_site_fract_x
_atom_site_fract_y
_atom_site_fract_z
_atom_site_occupancy
Ca1 Ca 0.0000 0.0000 0.0000 1
Ca2 Ca 0.4995 0.0000 0.4995 1
Tb1 Tb 0.5021 0.5000 0.1671 1
Y1 Y 0.0018 0.5000 0.6665 1


[20]
# ZnBi3Mo PBE optimized geometry
# **Offset from the most stable computed form**: 490 meV/atom
# **DFT formation energy**: 1.1275 eV/atom
data_ZnBi3Mo
_space_group_name_H-M_alt 'P m -3 m'
_space_group_IT_number 221
_space_group_name_Hall '-P 4 2 3'
_cell_length_a 5.3370
_cell_length_b 5.3370
_cell_length_c 5.3370
_cell_angle_alpha 90.00
_cell_angle_beta 90.00
_cell_angle_gamma 90.00
loop_
_atom_site_label
_atom_site_type_symbol
_atom_site_fract_x
_atom_site_fract_y
_atom_site_fract_z
_atom_site_occupancy
Zn1 Zn 0.0000 0.0000 0.0000 1
Bi1 Bi 0.0000 0.0000 0.5000 1
Mo1 Mo 0.5000 0.5000 0.5000 1